Record 1
PmPr3Al2: relaxed, PBE-GGA.

Calculated values
As for the size of the total moment: 0.0 Bohr magnetons per cell. Its calculated volume is 178 Å³/f.u. Its density is 5.8 g/cm3. The calculation puts the energy of formation from the pure elements at -0.2398 eV per atom.

```
12
Lattice="5.291 0.000 0.000 0.000 6.777 0.000 0.000 0.000 9.903" Properties=species:S:1:pos:R:3 pbc="T T T"
Pr 0.000 3.235 9.441
Al 2.646 1.410 1.490
Al 0.000 5.375 3.482
Pr 0.000 5.489 6.634
Al 0.000 1.987 6.421
Pr 0.000 6.624 0.461
Pr 2.646 4.675 1.716
Pr 2.646 1.287 8.187
Pr 0.000 2.101 3.269
Al 2.646 4.798 8.412
Pm 2.646 3.534 5.425
Pm 2.646 0.146 4.478
```

=====

Record 2
CaBi6Pb12: relaxed, PBE-GGA.

Calculated values
As for the size of the total moment: 0.0 Bohr magnetons per cell. Its calculated volume is 619 Å³/f.u. Its density is 10.1 g/cm3. The calculation puts the energy of formation from the pure elements at -0.0032 eV per atom.

```
19
Lattice="-5.762 -3.159 5.427 5.103 -6.697 1.319 3.786 4.290 6.316" Properties=species:S:1:pos:R:3 pbc="T T T"
Pb 2.757 -5.134 6.711
Bi 2.693 -5.283 3.276
Bi -0.340 -6.509 7.319
Pb 3.505 -2.307 4.803
Pb -1.276 -2.074 2.494
Pb -0.035 -4.097 4.887
Pb 0.742 0.909 3.283
Pb 0.811 -3.560 11.399
Bi -2.583 -2.028 5.926
Bi 0.434 -0.283 9.787
Pb 0.370 -0.432 6.352
Bi 5.709 -3.539 7.137
Pb 2.315 -2.006 1.664
Pb 4.403 -3.492 10.568
Pb -0.378 -3.260 8.260
Pb 3.161 -1.469 8.175
Pb 2.384 -6.476 9.780
Bi 3.467 0.943 5.743
Ca 0.000 0.000 0.000
```

=====

Record 3
AcCeGd: relaxed, PBE-GGA.

Calculated values
As for the size of the total moment: 8.6 Bohr magnetons per cell. Its calculated volume is 106 Å³/f.u. Its density is 8.2 g/cm3. The calculation puts the energy of formation from the pure elements at 0.1233 eV per atom.

```
3
Lattice="3.707 0.000 0.000 -1.854 3.211 0.000 0.000 0.000 8.943" Properties=species:S:1:pos:R:3 pbc="T T T"
Ce 0.000 2.140 5.904
Gd 1.854 1.070 3.092
Ac 0.000 0.000 8.890
```

=====

Record 4
Li2CuGe: relaxed, PBE-GGA.

Calculated values
As for the size of the total moment: 0.0 Bohr magnetons per cell. Its calculated volume is 53 Å³/f.u. Its density is 4.7 g/cm3. The calculation puts the energy of formation from the pure elements at -0.3220 eV per atom.

```
4
Lattice="-0.102 -1.577 -3.908 3.275 -2.213 -1.466 -0.360 -4.159 -0.586" Properties=species:S:1:pos:R:3 pbc="T T T"
Li 1.407 -3.975 -2.980
Li 0.703 -1.987 -1.490
Ge 0.000 0.000 0.000
Cu 2.110 -5.962 -4.470
```

=====

Record 5
Pm2Zn4InAg3: relaxed, PBE-GGA.

Calculated values
As for the size of the total moment: 0.0 Bohr magnetons per cell. Its calculated volume is 211 Å³/f.u. Its density is 7.8 g/cm3. The calculation puts the energy of formation from the pure elements at -0.2470 eV per atom.

```
10
Lattice="-3.878 0.465 -1.637 -1.693 -0.632 3.830 0.489 11.541 2.120" Properties=species:S:1:pos:R:3 pbc="T T T"
Pm -1.819 3.078 -0.296
Ag 0.244 5.770 1.060
Zn -1.623 7.694 0.552
Zn 0.000 0.000 0.000
Zn -0.674 3.763 2.665
In -2.541 5.687 2.157
Pm -0.478 8.379 3.513
Ag -1.517 10.195 1.012
Ag -0.780 1.262 2.205
Zn -2.785 -0.084 1.097
```

=====

Record 6
Pa2Ni6Ge: relaxed, PBE-GGA.

Calculated values
As for the size of the total moment: 0.0 Bohr magnetons per cell. Its calculated volume is 133 Å³/f.u. Its density is 11.0 g/cm3. The calculation puts the energy of formation from the pure elements at -0.4674 eV per atom.

```
9
Lattice="-5.587 0.961 0.349 -0.551 -1.374 -4.992 -0.935 -4.968 -1.245" Properties=species:S:1:pos:R:3 pbc="T T T"
Pa -5.471 -3.459 -3.880
Ni -4.279 -1.113 -3.239
Ni -3.052 -4.924 -5.038
Pa -1.602 -1.922 -2.009
Ni -4.463 -2.834 -1.445
Ni -2.794 -4.268 -2.650
Ni -2.610 -2.547 -4.444
Ge 0.000 0.000 0.000
Ni -4.021 -0.457 -0.851
```